w) A plane-wave DFT calculation with PBE was carried out for CaLaSmY after structural relaxation.

abc: 5.884 5.884 5.884
angles: 60.00 60.00 60.00
Atoms (fractional coordinates):
Ca 0.000 0.000 0.000
La 0.250 0.250 0.250
Sm 0.750 0.750 0.750
Y 0.500 0.500 0.500

Output
The symmetry is F-43m, No. 216. The value obtained for the density of states at the Fermi level is 6.9 states/eV/f.u. Its total moment is 0.0 μB per formula unit.

x) A plane-wave DFT calculation with PBE was carried out for CaLaSmY after structural relaxation.

abc: 3.697 3.697 10.592
angles: 90.00 90.00 90.00
Atoms (fractional coordinates):
Ca 0.000 0.000 0.000
La 0.500 0.500 0.723
Sm 0.000 0.000 0.485
Y 0.500 0.500 0.258

Output
The symmetry is P4mm, No. 99. The value obtained for the density of states at the Fermi level is 6.3 states/eV/f.u. Its total moment is 0.0 μB per formula unit.

x) has the most favorable energy; the next structure is 0.061 eV/atom above.